# GGA-PBE KSc2As, optimized geometry
# - Total moment: 2.99 μB/f.u.
# - Fermi-level density of states: 22.49 states/eV/cell
# - ρ: 3.37 g cm⁻³
# - ΔE_f: 0.27 eV/atom
data_KSc2As
_chemical_formula_sum 'K4 Sc8 As4'
_cell_length_a 7.380
_cell_length_b 7.380
_cell_length_c 7.380
_cell_angle_alpha 90.00
_cell_angle_beta 90.00
_cell_angle_gamma 90.00
_space_group_name_H-M_alt 'F -4 3 m'
_space_group_IT_number 216
_space_group_name_Hall 'F -4 2 3'
loop_
_atom_site_label
_atom_site_type_symbol
_atom_site_fract_x
_atom_site_fract_y
_atom_site_fract_z
K1 K 0.000 0.000 0.000
Sc1 Sc 0.000 0.000 0.500
Sc2 Sc 0.250 0.250 0.750
As1 As 0.250 0.250 0.250